--- one ---
## Ba2Ca2Rh (GGA-PBE)

Data for an optimized crystal structure of Ba2Ca2Rh.

The structure in CIF format:
```
data_Ba2Ca2Rh
_space_group_name_H-M_alt 'P 4/m b m'
_space_group_IT_number 127
_space_group_name_Hall '-P 4 2ab'
_cell_length_a 7.563
_cell_length_b 7.563
_cell_length_c 6.658
_cell_angle_alpha 90.00
_cell_angle_beta 90.00
_cell_angle_gamma 90.00
loop_
_atom_site_label
_atom_site_fract_x
_atom_site_fract_y
_atom_site_fract_z
Ba1 0.187 0.313 0.000
Ca1 0.172 0.672 0.500
Rh1 0.000 0.000 0.500
```


--- two ---
## Ba2Ca2Rh (GGA-PBE)

Data for an optimized crystal structure of Ba2Ca2Rh.

The structure in CIF format:
```
data_Ba2Ca2Rh
_space_group_name_H-M_alt 'C 1 2/m 1'
_space_group_IT_number 12
_cell_length_a 27.973
_cell_length_b 4.482
_cell_length_c 7.075
_cell_angle_alpha 90.00
_cell_angle_beta 100.18
_cell_angle_gamma 90.00
loop_
_space_group_symop_operation_xyz
'x,y,z'
'-x,-y,-z'
'-x,y,-z'
'x,-y,z'
'x+1/2,y+1/2,z'
'-x+1/2,-y+1/2,-z'
'-x+1/2,y+1/2,-z'
'x+1/2,-y+1/2,z'
loop_
_atom_site_label
_atom_site_fract_x
_atom_site_fract_y
_atom_site_fract_z
Ba1 0.053 0.000 0.288
Ba2 0.184 0.500 0.520
Ca1 0.078 0.500 0.799
Ca2 0.187 0.000 0.004
Rh1 0.123 0.000 0.659
```


It comes down to two, which is 223 meV per atom more stable than the next structure.